#1
Density functional theory data (PBE) for crystalline ZnGeNF2 at its relaxed geometry.

The structure in CIF format:
```
data_ZnGeNF2
_cell_length_a 4.0692
_cell_length_b 4.0692
_cell_length_c 3.7732
_cell_angle_alpha 90.00
_cell_angle_beta 90.00
_cell_angle_gamma 90.00
_space_group_name_H-M_alt 'P 4/m m m'
_space_group_IT_number 123
_space_group_name_Hall '-P 4 2'
loop_
_atom_site_label
_atom_site_type_symbol
_atom_site_fract_x
_atom_site_fract_y
_atom_site_fract_z
Zn1 Zn 0.0000 0.0000 0.0000
Ge1 Ge 0.5000 0.5000 0.5000
N1 N 0.5000 0.5000 0.0000
F1 F 0.0000 0.5000 0.5000
```

---

#2
Density functional theory data (PBE) for crystalline ZnGeNF2 at its relaxed geometry.

The structure in CIF format:
```
data_ZnGeNF2
_cell_length_a 3.9238
_cell_length_b 3.9238
_cell_length_c 4.2164
_cell_angle_alpha 90.00
_cell_angle_beta 90.00
_cell_angle_gamma 90.00
_space_group_name_H-M_alt 'P 4/m m m'
_space_group_IT_number 123
_space_group_name_Hall '-P 4 2'
loop_
_atom_site_label
_atom_site_type_symbol
_atom_site_fract_x
_atom_site_fract_y
_atom_site_fract_z
Zn1 Zn 0.0000 0.0000 0.0000
Ge1 Ge 0.5000 0.5000 0.5000
N1 N 0.0000 0.0000 0.5000
F1 F 0.0000 0.5000 0.0000
```

---

Out of the structures above, which one is the least stable? Solution: #2.